# 1
This record from Alexandria via LeMat-Bulk describes a relaxed structure of Cs2NpPdI6. The functional is GGA-PBE.

Lattice parameters (Å, degrees): 8.5265 8.5265 6.9589 90.00 90.00 120.00
With the nearest neighbours (Å) after each atom.
Sites, in units of the cell vectors:
Cs: 0.3333 0.6667 0.2433  12 I 4.25-4.26
Cs: 0.6667 0.3333 0.7567  12 I 4.25-4.26
Np: 0.0000 0.0000 0.0000  6 I 3.06
Pd: 0.0000 0.0000 0.5000  6 I 3.00
I: 0.1678 0.3356 0.7430  1 Pd 3.00, 1 Np 3.06
I: 0.1678 0.8322 0.7430  1 Pd 3.00, 1 Np 3.06
I: 0.3356 0.1678 0.2570  1 Pd 3.00, 1 Np 3.06
I: 0.6644 0.8322 0.7430  1 Pd 3.00, 1 Np 3.06
I: 0.8322 0.1678 0.2570  1 Pd 3.00, 1 Np 3.06
I: 0.8322 0.6644 0.2570  1 Pd 3.00, 1 Np 3.06

Output
VASP energy	-3.89	eV/atom
volume	438	Å³ per cell

=====

# 2
This record from Alexandria via LeMat-Bulk describes a relaxed structure of CsRbNpI6. The functional is GGA-PBE.

Lattice parameters (Å, degrees): 9.0091 9.0091 15.2230 90.00 90.00 120.00
With the nearest neighbours (Å) after each atom.
Sites, in units of the cell vectors:
Cs: 0.0000 0.0000 0.0000  6 I 3.93
Cs: 0.0000 0.0000 0.5000  6 I 3.93
Rb: 0.3333 0.6667 0.2500  6 I 3.72
Rb: 0.6667 0.3333 0.7500  6 I 3.72
Np: 0.3333 0.6667 0.7500  6 I 3.02
Np: 0.6667 0.3333 0.2500  6 I 3.02
I: 0.0584 0.3976 0.6346  1 Np 3.02
I: 0.0584 0.6608 0.8654  1 Np 3.02
I: 0.3392 0.3976 0.8654  1 Np 3.02
I: 0.3392 0.9416 0.6346  1 Np 3.02
I: 0.3976 0.0584 0.1346  1 Np 3.02
I: 0.3976 0.3392 0.3654  1 Np 3.02
I: 0.6024 0.6608 0.6346  1 Np 3.02
I: 0.6024 0.9416 0.8654  1 Np 3.02
I: 0.6608 0.0584 0.3654  1 Np 3.02
I: 0.6608 0.6024 0.1346  1 Np 3.02
I: 0.9416 0.3392 0.1346  1 Np 3.02
I: 0.9416 0.6024 0.3654  1 Np 3.02

Output
VASP energy	-3.80	eV/atom
volume	1070	Å³ per cell

=====

# 3
This record from Alexandria via LeMat-Bulk describes a relaxed structure of CsRb2NpI8. The functional is GGA-PBE.

Lattice parameters (Å, degrees): 7.3758 11.4897 8.2858 90.00 108.60 90.00
With the nearest neighbours (Å) after each atom.
Sites, in units of the cell vectors:
Cs: 0.0000 0.0000 0.0000  6 I 3.84-4.16
Rb: 0.5000 0.2501 0.5000  4 I 3.61-3.71
Rb: 0.5000 0.7499 0.5000  4 I 3.61-3.71
Np: 0.0000 0.5000 0.0000  6 I 2.96-2.98
I: 0.0607 0.3138 0.7725  1 Np 2.98
I: 0.0607 0.6862 0.7725  1 Np 2.98
I: 0.4118 0.5000 0.2021  1 Np 2.96
I: 0.4631 0.0000 0.7523  2 Rb 3.61, 1 Cs 3.84, 1 I 3.97
I: 0.5369 0.0000 0.2477  2 Rb 3.61, 1 Cs 3.84, 1 I 3.97
I: 0.5882 0.5000 0.7979  1 Np 2.96
I: 0.9393 0.3138 0.2275  1 Np 2.98
I: 0.9393 0.6862 0.2275  1 Np 2.98

Output
VASP energy	-3.39	eV/atom
volume	666	Å³ per cell

=====

# 4
This record from Alexandria via LeMat-Bulk describes a relaxed structure of Cs2NpS2I2. The functional is GGA-PBE.

Lattice parameters (Å, degrees): 10.5257 10.5257 10.5257 150.56 150.56 42.12
With the nearest neighbours (Å) after each atom.
Sites, in units of the cell vectors:
Cs: 0.1298 0.1298 0.0000  4 S 3.69, 5 I 3.83-4.12
Cs: 0.8702 0.8702 0.0000  4 S 3.69, 5 I 3.83-4.12
Np: 0.5000 0.5000 0.0000  4 S 2.67
S: 0.0000 0.5000 0.5000  2 Np 2.67
S: 0.5000 0.0000 0.5000  2 Np 2.67
I: 0.3393 0.3393 0.0000  1 Np 3.16
I: 0.6607 0.6607 0.0000  1 Np 3.16

Output
VASP energy	-5.05	eV/atom
volume	281	Å³ per cell